Entry 1:
# Sc2BiPd8 (PBE, optimized geometry)
data_Sc2BiPd8
_chemical_formula_sum 'Sc2 Bi1 Pd8'
_space_group_name_H-M_alt 'P 1'
_space_group_IT_number 1
_cell_length_a 7.5908
_cell_length_b 7.5908
_cell_length_c 6.5079
_cell_angle_alpha 105.18
_cell_angle_beta 105.18
_cell_angle_gamma 31.35
loop_
_space_group_symop_operation_xyz
'x,y,z'
loop_
_atom_site_label
_atom_site_fract_x
_atom_site_fract_y
_atom_site_fract_z
_atom_site_occupancy
Sc1 0.2177 0.2177 0.1632 1
Sc2 0.7823 0.7823 0.8368 1
Bi1 0.5000 0.5000 0.5000 1
Pd1 0.0416 0.0416 0.2207 1
Pd2 0.1516 0.1516 0.7094 1
Pd3 0.3211 0.3211 0.5860 1
Pd4 0.4035 0.4035 0.0382 1
Pd5 0.5965 0.5965 0.9618 1
Pd6 0.6789 0.6789 0.4140 1
Pd7 0.8484 0.8484 0.2906 1
Pd8 0.9584 0.9584 0.7793 1
# energy of formation: -592 meV per atom
# SG: C2/m (12)
# D(E_F): 0.4251 states/eV per atom
# calculated volume: 17.07 Å³ per atom

Entry 2:
# ScBiPd (PBE, optimized geometry)
data_ScBiPd
_chemical_formula_sum 'Sc2 Bi2 Pd2'
_space_group_name_H-M_alt 'P 1'
_space_group_IT_number 1
_cell_length_a 3.3924
_cell_length_b 3.3924
_cell_length_c 11.6605
_cell_angle_alpha 90.00
_cell_angle_beta 90.00
_cell_angle_gamma 90.00
loop_
_space_group_symop_operation_xyz
'x,y,z'
loop_
_atom_site_label
_atom_site_fract_x
_atom_site_fract_y
_atom_site_fract_z
_atom_site_occupancy
Sc1 0.0000 0.0000 0.0000 1
Sc2 0.5000 0.5000 0.5000 1
Bi1 0.0000 0.0000 0.2965 1
Bi2 0.5000 0.5000 0.7965 1
Pd1 0.0000 0.0000 0.6176 1
Pd2 0.5000 0.5000 0.1176 1
# energy of formation: -543 meV per atom
# SG: I4mm (107)
# D(E_F): 0.7366 states/eV per atom
# calculated volume: 22.37 Å³ per atom

Entry 3:
# Sc5BiPd (PBE, optimized geometry)
data_Sc5BiPd
_chemical_formula_sum 'Sc10 Bi2 Pd2'
_space_group_name_H-M_alt 'P 1'
_space_group_IT_number 1
_cell_length_a 5.7116
_cell_length_b 5.7116
_cell_length_c 10.1091
_cell_angle_alpha 96.03
_cell_angle_beta 96.03
_cell_angle_gamma 87.33
loop_
_space_group_symop_operation_xyz
'x,y,z'
loop_
_atom_site_label
_atom_site_fract_x
_atom_site_fract_y
_atom_site_fract_z
_atom_site_occupancy
Sc1 0.0076 0.5740 0.1503 1
Sc2 0.0967 0.9033 0.7500 1
Sc3 0.2320 0.5430 0.4775 1
Sc4 0.4260 0.9924 0.3497 1
Sc5 0.4570 0.7680 0.0225 1
Sc6 0.5430 0.2320 0.9775 1
Sc7 0.5740 0.0076 0.6503 1
Sc8 0.7680 0.4570 0.5225 1
Sc9 0.9033 0.0967 0.2500 1
Sc10 0.9924 0.4260 0.8497 1
Bi1 0.4774 0.5226 0.7500 1
Bi2 0.5226 0.4774 0.2500 1
Pd1 0.0000 0.0000 0.0000 1
Pd2 0.0000 0.0000 0.5000 1
# energy of formation: -271 meV per atom
# SG: C2/c (15)
# D(E_F): 1.2896 states/eV per atom
# calculated volume: 23.28 Å³ per atom

Entry 4:
# Sc3BiPd (PBE, optimized geometry)
data_Sc3BiPd
_chemical_formula_sum 'Sc3 Bi1 Pd1'
_space_group_name_H-M_alt 'P 1'
_space_group_IT_number 1
_cell_length_a 5.3748
_cell_length_b 5.3748
_cell_length_c 5.3748
_cell_angle_alpha 90.00
_cell_angle_beta 90.00
_cell_angle_gamma 90.00
loop_
_space_group_symop_operation_xyz
'x,y,z'
loop_
_atom_site_label
_atom_site_fract_x
_atom_site_fract_y
_atom_site_fract_z
_atom_site_occupancy
Sc1 0.0000 0.0000 0.5000 1
Sc2 0.0000 0.5000 0.0000 1
Sc3 0.5000 0.0000 0.0000 1
Bi1 0.0000 0.0000 0.0000 1
Pd1 0.5000 0.5000 0.5000 1
# energy of formation: 564 meV per atom
# SG: Pm-3m (221)
# D(E_F): 1.0357 states/eV per atom
# ΔE to the lowest computed polymorph: 896 meV per atom
# calculated volume: 31.05 Å³ per atom